Entry from the Alexandria database: crystalline Mg2BiH at its relaxed geometry (GGA-PBE).

Unit cell a=3.6894 b=3.6894 c=20.2962 alpha=90.00 beta=90.00 gamma=120.00
Space group R-3m (No. 166, hexagonal axes)
Unique sites:
Mg (0.0000, 0.0000, 0.2215)
Bi (0.0000, 0.0000, 0.0000)
H (0.0000, 0.0000, 0.5000)

Computed properties:
Uncorrected energy: -10.06 eV/f.u.
E above lowest polymorph: 0.276 eV/atom